The following is a PBE calculation of a relaxed structure of CeSmGa4, from the Alexandria database. Values from VASP.

Geometry as Quantum ESPRESSO input:
```
&SYSTEM
  ibrav = 0, nat = 6, ntyp = 3
/
ATOMIC_SPECIES
Ce 140.12 Ce.upf
Sm 150.36 Sm.upf
Ga 69.72 Ga.upf
ATOMIC_POSITIONS angstrom
Ce 0.000 0.000 0.000
Sm 0.000 0.000 4.202
Ga 0.000 2.463 2.081
Ga 0.000 2.463 6.323
Ga 2.133 1.231 2.081
Ga 2.133 1.231 6.323
CELL_PARAMETERS angstrom
4.266 0.000 0.000
-2.133 3.694 0.000
0.000 0.000 8.404
```

Values from the calculation:
The symmetry is No. 191. As for the energy above the most stable polymorph in this dataset: 0.0 meV per atom. The value obtained for the calculated formation energy is -0.640 eV per atom. The value obtained for the volume is 132 Å³/f.u. Its crystal system is hexagonal.

The following is a PBE calculation of a relaxed structure of Ce4SmGa5, from the Alexandria database. Values from VASP.

Geometry as Quantum ESPRESSO input:
```
&SYSTEM
  ibrav = 0, nat = 10, ntyp = 3
/
ATOMIC_SPECIES
Ce 140.12 Ce.upf
Sm 150.36 Sm.upf
Ga 69.72 Ga.upf
ATOMIC_POSITIONS angstrom
Ce 0.000 0.000 4.171
Ce 0.000 0.000 8.392
Ce 0.000 0.000 12.597
Ce 0.000 0.000 16.818
Sm 0.000 0.000 0.000
Ga 1.663 1.663 2.089
Ga 1.663 1.663 6.283
Ga 1.663 1.663 10.495
Ga 1.663 1.663 14.706
Ga 1.663 1.663 18.900
CELL_PARAMETERS angstrom
3.326 0.000 0.000
0.000 3.326 0.000
0.000 0.000 20.989
```

Values from the calculation:
The symmetry is No. 123. The value obtained for the calculated formation energy is -0.500 eV per atom. The value obtained for the volume is 232 Å³/f.u. Its crystal system is tetragonal.

The following is a PBE calculation of a relaxed structure of CeSmGa, from the Alexandria database. Values from VASP.

Geometry as Quantum ESPRESSO input:
```
&SYSTEM
  ibrav = 0, nat = 6, ntyp = 3
/
ATOMIC_SPECIES
Ga 69.72 Ga.upf
Sm 150.36 Sm.upf
Ce 140.12 Ce.upf
ATOMIC_POSITIONS angstrom
Ga 0.000 2.073 5.989
Ga 2.073 0.000 3.697
Sm 2.073 0.000 6.683
Sm 0.000 2.073 3.003
Ce 0.000 2.073 8.994
Ce 2.073 0.000 0.692
CELL_PARAMETERS angstrom
4.146 0.000 0.000
0.000 4.146 0.000
0.000 0.000 9.686
```

Values from the calculation:
The symmetry is No. 129. As for the energy above the most stable polymorph in this dataset: 246.8 meV per atom. The value obtained for the calculated formation energy is -0.093 eV per atom. The value obtained for the volume is 83 Å³/f.u. Its crystal system is tetragonal.

The following is a PBE calculation of a relaxed structure of Ce2SmGa, from the Alexandria database. Values from VASP.

Geometry as Quantum ESPRESSO input:
```
&SYSTEM
  ibrav = 0, nat = 4, ntyp = 3
/
ATOMIC_SPECIES
Ga 69.72 Ga.upf
Ce 140.12 Ce.upf
Sm 150.36 Sm.upf
ATOMIC_POSITIONS angstrom
Ga 1.410 -0.390 2.320
Ce 4.090 4.006 -1.812
Ce 0.957 0.937 -0.424
Sm 3.933 2.082 1.202
CELL_PARAMETERS angstrom
-0.020 1.616 3.526
2.840 -2.395 1.114
5.047 4.943 -2.236
```

Values from the calculation:
The symmetry is No. 123. As for the energy above the most stable polymorph in this dataset: 115.4 meV per atom. The value obtained for the calculated formation energy is -0.172 eV per atom. The value obtained for the volume is 111 Å³/f.u. Its crystal system is tetragonal.

The following is a PBE calculation of a relaxed structure of Ce2SmGa, from the Alexandria database. Values from VASP.

Geometry as Quantum ESPRESSO input:
```
&SYSTEM
  ibrav = 0, nat = 4, ntyp = 3
/
ATOMIC_SPECIES
Ga 69.72 Ga.upf
Ce 140.12 Ce.upf
Sm 150.36 Sm.upf
ATOMIC_POSITIONS angstrom
Ga 2.495 0.000 0.000
Ce 0.000 0.000 2.274
Ce 0.000 2.274 0.000
Sm 2.495 2.274 2.274
CELL_PARAMETERS angstrom
4.990 0.000 0.000
0.000 4.547 0.000
0.000 0.000 4.547
```

Values from the calculation:
The symmetry is No. 123. As for the energy above the most stable polymorph in this dataset: 65.7 meV per atom. The value obtained for the calculated formation energy is -0.222 eV per atom. The value obtained for the volume is 103 Å³/f.u. Its crystal system is tetragonal.

The following is a PBE calculation of a relaxed structure of CeSm5Ga4, from the Alexandria database. Values from VASP.

Geometry as Quantum ESPRESSO input:
```
&SYSTEM
  ibrav = 0, nat = 10, ntyp = 3
/
ATOMIC_SPECIES
Ce 140.12 Ce.upf
Sm 150.36 Sm.upf
Ga 69.72 Ga.upf
ATOMIC_POSITIONS angstrom
Ce -1.245 -1.358 0.259
Sm -0.213 -0.863 7.822
Sm -2.986 1.271 5.686
Sm 3.088 -1.623 6.336
Sm 1.540 -3.355 3.176
Sm 0.315 0.511 4.200
Ga 2.605 -0.630 9.226
Ga -1.131 0.441 10.251
Ga -2.503 0.278 2.796
Ga 1.233 -0.793 1.771
CELL_PARAMETERS angstrom
-2.490 -2.717 0.517
5.570 -3.993 5.834
-2.978 6.358 5.670
```

Values from the calculation:
The symmetry is No. 12. The value obtained for the calculated formation energy is -0.229 eV per atom. The value obtained for the volume is 294 Å³/f.u. Its crystal system is monoclinic.

The following is a PBE calculation of a relaxed structure of CeSm2Ga, from the Alexandria database. Values from VASP.

Geometry as Quantum ESPRESSO input:
```
&SYSTEM
  ibrav = 0, nat = 4, ntyp = 3
/
ATOMIC_SPECIES
Ga 69.72 Ga.upf
Ce 140.12 Ce.upf
Sm 150.36 Sm.upf
ATOMIC_POSITIONS angstrom
Ga -0.188 -0.483 2.465
Ce 2.511 2.838 3.321
Sm 4.222 5.196 1.340
Sm 1.175 1.446 0.373
CELL_PARAMETERS angstrom
-2.159 1.078 2.621
1.783 -2.044 2.309
5.396 6.642 1.712
```

Values from the calculation:
The symmetry is No. 123. As for the energy above the most stable polymorph in this dataset: 0.0 meV per atom. The value obtained for the calculated formation energy is -0.220 eV per atom. The value obtained for the volume is 111 Å³/f.u. Its crystal system is tetragonal.

The following is a PBE calculation of a relaxed structure of CeSmGa, from the Alexandria database. Values from VASP.

Geometry as Quantum ESPRESSO input:
```
&SYSTEM
  ibrav = 0, nat = 3, ntyp = 3
/
ATOMIC_SPECIES
Ga 69.72 Ga.upf
Ce 140.12 Ce.upf
Sm 150.36 Sm.upf
ATOMIC_POSITIONS angstrom
Ga -0.983 2.361 -2.547
Ce -3.024 0.537 0.024
Sm -1.714 3.428 0.190
CELL_PARAMETERS angstrom
-0.999 2.402 -2.590
-4.405 -2.184 -0.325
0.683 3.707 3.174
```

Values from the calculation:
The symmetry is No. 156. As for the energy above the most stable polymorph in this dataset: 129.1 meV per atom. The value obtained for the calculated formation energy is -0.210 eV per atom. The value obtained for the volume is 77 Å³/f.u. Its crystal system is trigonal.

The following is a PBE calculation of a relaxed structure of CeSmGa2, from the Alexandria database. Values from VASP.

Geometry as Quantum ESPRESSO input:
```
&SYSTEM
  ibrav = 0, nat = 8, ntyp = 3
/
ATOMIC_SPECIES
Ce 140.12 Ce.upf
Sm 150.36 Sm.upf
Ga 69.72 Ga.upf
ATOMIC_POSITIONS angstrom
Ce 2.073 2.168 2.640
Ce 2.073 3.754 6.765
Sm 0.000 0.778 5.614
Sm 0.000 5.144 1.489
Ga 0.000 3.679 4.396
Ga 0.000 2.243 0.271
Ga 2.073 5.195 3.851
Ga 2.073 0.728 7.976
CELL_PARAMETERS angstrom
4.146 0.000 0.000
0.000 5.922 0.000
0.000 0.000 8.250
```

Values from the calculation:
The symmetry is No. 26. The value obtained for the calculated formation energy is -0.528 eV per atom. The value obtained for the volume is 101 Å³/f.u. Its crystal system is orthorhombic.

The following is a PBE calculation of a relaxed structure of Ce5SmGa6, from the Alexandria database. Values from VASP.

Geometry as Quantum ESPRESSO input:
```
&SYSTEM
  ibrav = 0, nat = 12, ntyp = 3
/
ATOMIC_SPECIES
Ga 69.72 Ga.upf
Sm 150.36 Sm.upf
Ce 140.12 Ce.upf
ATOMIC_POSITIONS angstrom
Ga -0.084 1.325 2.815
Ga -1.216 -0.142 6.663
Ga -2.747 -0.044 1.508
Ga 0.503 -2.868 6.131
Ga -1.028 -2.771 0.976
Ga -2.160 -4.237 4.824
Sm 0.000 0.000 0.000
Ce -0.188 2.597 5.639
Ce 1.554 -0.033 5.148
Ce -1.122 -1.456 3.819
Ce 0.585 -4.235 3.261
Ce -2.056 -5.510 2.000
CELL_PARAMETERS angstrom
-4.383 1.356 -0.771
-0.374 -8.397 1.393
2.513 4.128 7.016
```

Values from the calculation:
The symmetry is No. 71. The value obtained for the calculated formation energy is -0.493 eV per atom. The value obtained for the volume is 277 Å³/f.u. Its crystal system is orthorhombic.